A plane-wave DFT calculation with GGA-PBE was carried out for a relaxed AcTi5 crystal.

Structure (POSCAR):
```
AcTi5
1.0
3.8156 0.0000 0.0000
0.0000 4.6410 0.0000
0.0000 -2.3205 6.8167
Ac Ti
1 5
Cartesian
0.0000 0.0000 0.0000
0.0000 2.3205 2.3720
0.0000 0.0000 4.4446
1.9078 2.3205 0.0000
1.9078 0.0000 2.5016
1.9078 2.3205 4.3150
```

* calculated density: 6.415 g cm⁻³
* E: -6.95 eV/atom
* total magnetization: 0.006 μB/cell